(1)
# Na2ZnAu2 | the Open Quantum Materials Database | PBE | optimized geometry
# * crystal system: monoclinic
# * DFT total energy: -2.402 eV per atom
# * V: 224 Å³ per cell
data_Na2ZnAu2
_chemical_formula_sum 'Na4 Zn2 Au4'
_cell_length_a 5.614
_cell_length_b 5.614
_cell_length_c 8.291
_cell_angle_alpha 100.51
_cell_angle_beta 100.51
_cell_angle_gamma 61.36
_symmetry_space_group_name_H-M 'P 1'
_symmetry_Int_Tables_number 1
loop_
_symmetry_equiv_pos_as_xyz
'x,y,z'
loop_
_atom_site_label
_atom_site_type_symbol
_atom_site_fract_x
_atom_site_fract_y
_atom_site_fract_z
_atom_site_occupancy
Na1 Na 0.476 0.221 0.345 1
Zn1 Zn 0.110 0.890 0.250 1
Zn2 Zn 0.890 0.110 0.750 1
Na2 Na 0.779 0.524 0.155 1
Au1 Au 0.737 0.003 0.993 1
Na3 Na 0.524 0.779 0.655 1
Au2 Au 0.263 0.997 0.007 1
Au3 Au 0.997 0.263 0.507 1
Na4 Na 0.221 0.476 0.845 1
Au4 Au 0.003 0.737 0.493 1

=====

(2)
# KNpCuSe3 | the Open Quantum Materials Database | PBE | optimized geometry
# * crystal system: orthorhombic
# * DFT total energy: -5.725 eV per atom
# * total magnetization: 3.00 μB per formula unit
# * V: 309 Å³ per cell
data_KNpCuSe3
_chemical_formula_sum 'K2 Np2 Cu2 Se6'
_cell_length_a 7.506
_cell_length_b 7.506
_cell_length_c 10.530
_cell_angle_alpha 90.00
_cell_angle_beta 90.00
_cell_angle_gamma 148.60
_symmetry_space_group_name_H-M 'P 1'
_symmetry_Int_Tables_number 1
loop_
_symmetry_equiv_pos_as_xyz
'x,y,z'
loop_
_atom_site_label
_atom_site_type_symbol
_atom_site_fract_x
_atom_site_fract_y
_atom_site_fract_z
_atom_site_occupancy
Se1 Se 0.066 0.934 0.250 1
Se2 Se 0.934 0.066 0.750 1
Se3 Se 0.372 0.628 0.059 1
Np1 Np 0.000 0.000 0.500 1
Cu1 Cu 0.534 0.466 0.750 1
Se4 Se 0.628 0.372 0.559 1
K1 K 0.255 0.745 0.750 1
Se5 Se 0.372 0.628 0.441 1
Cu2 Cu 0.466 0.534 0.250 1
Np2 Np 0.000 0.000 0.000 1
Se6 Se 0.628 0.372 0.941 1
K2 K 0.745 0.255 0.250 1

=====

(3)
# Gd2AlGaNi4 | the Open Quantum Materials Database | PBE | optimized geometry
# * crystal system: trigonal
# * DFT total energy: -5.361 eV per atom
# * total magnetization: 0.00 μB per formula unit
# * V: 135 Å³ per cell
data_Gd2AlGaNi4
_chemical_formula_sum 'Gd2 Al1 Ga1 Ni4'
_cell_length_a 4.163
_cell_length_b 4.163
_cell_length_c 9.028
_cell_angle_alpha 90.00
_cell_angle_beta 90.00
_cell_angle_gamma 120.00
_symmetry_space_group_name_H-M 'P 1'
_symmetry_Int_Tables_number 1
loop_
_symmetry_equiv_pos_as_xyz
'x,y,z'
loop_
_atom_site_label
_atom_site_type_symbol
_atom_site_fract_x
_atom_site_fract_y
_atom_site_fract_z
_atom_site_occupancy
Gd1 Gd 0.333 0.667 0.750 1
Ni1 Ni 0.667 0.333 0.559 1
Ni2 Ni 0.667 0.333 0.941 1
Al1 Al 0.000 0.000 0.500 1
Ga1 Ga 0.000 0.000 0.000 1
Ni3 Ni 0.333 0.667 0.059 1
Gd2 Gd 0.667 0.333 0.250 1
Ni4 Ni 0.333 0.667 0.441 1

=====

(4)
# LiYNiSe3 | the Open Quantum Materials Database | PBE | optimized geometry
# * crystal system: orthorhombic
# * DFT total energy: -5.148 eV per atom
# * total magnetization: 0.01 μB per formula unit
# * V: 259 Å³ per cell
data_LiYNiSe3
_chemical_formula_sum 'Li2 Y2 Ni2 Se6'
_cell_length_a 6.742
_cell_length_b 6.742
_cell_length_c 10.436
_cell_angle_alpha 90.00
_cell_angle_beta 90.00
_cell_angle_gamma 33.08
_symmetry_space_group_name_H-M 'P 1'
_symmetry_Int_Tables_number 1
loop_
_symmetry_equiv_pos_as_xyz
'x,y,z'
loop_
_atom_site_label
_atom_site_type_symbol
_atom_site_fract_x
_atom_site_fract_y
_atom_site_fract_z
_atom_site_occupancy
Li1 Li 0.223 0.223 0.750 1
Se1 Se 0.905 0.905 0.750 1
Li2 Li 0.777 0.777 0.250 1
Se2 Se 0.355 0.355 0.412 1
Y1 Y 0.000 0.000 0.000 1
Se3 Se 0.355 0.355 0.088 1
Y2 Y 0.000 0.000 0.500 1
Ni1 Ni 0.515 0.515 0.750 1
Se4 Se 0.095 0.095 0.250 1
Se5 Se 0.645 0.645 0.588 1
Se6 Se 0.645 0.645 0.912 1
Ni2 Ni 0.485 0.485 0.250 1

=====

(5)
# CoRe2Ni | the Open Quantum Materials Database | PBE | optimized geometry
# * crystal system: orthorhombic
# * DFT total energy: -9.373 eV per atom
# * total magnetization: 1.06 μB per formula unit
# * offset from the most stable computed form: 40.2 meV per atom
# * V: 102 Å³ per cell
data_CoRe2Ni
_chemical_formula_sum 'Co2 Re4 Ni2'
_cell_length_a 4.201
_cell_length_b 5.284
_cell_length_c 5.284
_cell_angle_alpha 60.25
_cell_angle_beta 90.00
_cell_angle_gamma 90.00
_symmetry_space_group_name_H-M 'P 1'
_symmetry_Int_Tables_number 1
loop_
_symmetry_equiv_pos_as_xyz
'x,y,z'
loop_
_atom_site_label
_atom_site_type_symbol
_atom_site_fract_x
_atom_site_fract_y
_atom_site_fract_z
_atom_site_occupancy
Co1 Co 0.000 0.168 0.658 1
Re1 Re 0.500 0.827 0.333 1
Ni1 Ni 0.500 0.337 0.337 1
Re2 Re 0.500 0.835 0.835 1
Re3 Re 0.500 0.333 0.827 1
Ni2 Ni 0.000 0.669 0.669 1
Co2 Co 0.000 0.658 0.168 1
Re4 Re 0.000 0.172 0.172 1

=====

(6)
# Nd2GdAl7Cu2 | the Open Quantum Materials Database | PBE | optimized geometry
# * crystal system: trigonal
# * DFT total energy: -4.463 eV per atom
# * total magnetization: 0.00 μB per formula unit
# * V: 230 Å³ per cell
data_Nd2GdAl7Cu2
_chemical_formula_sum 'Nd2 Gd1 Al7 Cu2'
_cell_length_a 9.162
_cell_length_b 9.162
_cell_length_c 9.162
_cell_angle_alpha 35.33
_cell_angle_beta 35.33
_cell_angle_gamma 35.33
_symmetry_space_group_name_H-M 'P 1'
_symmetry_Int_Tables_number 1
loop_
_symmetry_equiv_pos_as_xyz
'x,y,z'
loop_
_atom_site_label
_atom_site_type_symbol
_atom_site_fract_x
_atom_site_fract_y
_atom_site_fract_z
_atom_site_occupancy
Al1 Al 0.580 0.072 0.580 1
Al2 Al 0.580 0.580 0.072 1
Cu1 Cu 0.335 0.335 0.335 1
Nd1 Nd 0.142 0.142 0.142 1
Al3 Al 0.500 0.500 0.500 1
Al4 Al 0.928 0.420 0.420 1
Al5 Al 0.072 0.580 0.580 1
Nd2 Nd 0.858 0.858 0.858 1
Al6 Al 0.420 0.420 0.928 1
Gd1 Gd 0.000 0.000 0.000 1
Al7 Al 0.420 0.928 0.420 1
Cu2 Cu 0.665 0.665 0.665 1

=====

(7)
# ScCoGe2 | the Open Quantum Materials Database | PBE | optimized geometry
# * crystal system: cubic
# * DFT total energy: -5.825 eV per atom
# * total magnetization: 0.00 μB per formula unit
# * V: 63 Å³ per cell
data_ScCoGe2
_chemical_formula_sum 'Sc1 Co1 Ge2'
_cell_length_a 4.462
_cell_length_b 4.462
_cell_length_c 4.462
_cell_angle_alpha 60.00
_cell_angle_beta 60.00
_cell_angle_gamma 60.00
_symmetry_space_group_name_H-M 'P 1'
_symmetry_Int_Tables_number 1
loop_
_symmetry_equiv_pos_as_xyz
'x,y,z'
loop_
_atom_site_label
_atom_site_type_symbol
_atom_site_fract_x
_atom_site_fract_y
_atom_site_fract_z
_atom_site_occupancy
Sc1 Sc 0.000 0.000 0.000 1
Ge1 Ge 0.250 0.250 0.250 1
Co1 Co 0.750 0.750 0.750 1
Ge2 Ge 0.500 0.500 0.500 1

=====

(8)
# Dy2HoCu2B2N3 | the Open Quantum Materials Database | PBE | optimized geometry
# * crystal system: tetragonal
# * DFT total energy: -7.025 eV per atom
# * total magnetization: 0.01 μB per formula unit
# * V: 123 Å³ per cell
data_Dy2HoCu2B2N3
_chemical_formula_sum 'Dy2 Ho1 Cu2 B2 N3'
_cell_length_a 10.474
_cell_length_b 10.474
_cell_length_c 10.474
_cell_angle_alpha 160.87
_cell_angle_beta 160.87
_cell_angle_gamma 27.18
_symmetry_space_group_name_H-M 'P 1'
_symmetry_Int_Tables_number 1
loop_
_symmetry_equiv_pos_as_xyz
'x,y,z'
loop_
_atom_site_label
_atom_site_type_symbol
_atom_site_fract_x
_atom_site_fract_y
_atom_site_fract_z
_atom_site_occupancy
B1 B 0.816 0.816 0.000 1
N1 N 0.113 0.113 0.000 1
B2 B 0.184 0.184 0.000 1
Cu1 Cu 0.250 0.750 0.500 1
N2 N 0.500 0.500 0.000 1
Dy1 Dy 0.379 0.379 0.000 1
N3 N 0.887 0.887 0.000 1
Ho1 Ho 0.000 0.000 0.000 1
Cu2 Cu 0.750 0.250 0.500 1
Dy2 Dy 0.621 0.621 0.000 1

=====

(9)
# MgUZn | the Open Quantum Materials Database | PBE | optimized geometry
# * crystal system: cubic
# * DFT total energy: -4.095 eV per atom
# * total magnetization: 2.57 μB per formula unit
# * V: 72 Å³ per cell
data_MgUZn
_chemical_formula_sum 'Mg1 U1 Zn1'
_cell_length_a 4.680
_cell_length_b 4.680
_cell_length_c 4.680
_cell_angle_alpha 60.00
_cell_angle_beta 60.00
_cell_angle_gamma 60.00
_symmetry_space_group_name_H-M 'P 1'
_symmetry_Int_Tables_number 1
loop_
_symmetry_equiv_pos_as_xyz
'x,y,z'
loop_
_atom_site_label
_atom_site_type_symbol
_atom_site_fract_x
_atom_site_fract_y
_atom_site_fract_z
_atom_site_occupancy
Zn1 Zn 0.000 0.000 0.000 1
U1 U 0.750 0.750 0.750 1
Mg1 Mg 0.250 0.250 0.250 1

=====

(10)
# UTaOs | the Open Quantum Materials Database | PBE | optimized geometry
# * crystal system: cubic
# * DFT total energy: -11.042 eV per atom
# * total magnetization: 2.45 μB per formula unit
# * offset from the most stable computed form: 0.0 meV per atom
# * V: 65 Å³ per cell
data_UTaOs
_chemical_formula_sum 'U1 Ta1 Os1'
_cell_length_a 4.522
_cell_length_b 4.522
_cell_length_c 4.522
_cell_angle_alpha 60.00
_cell_angle_beta 60.00
_cell_angle_gamma 60.00
_symmetry_space_group_name_H-M 'P 1'
_symmetry_Int_Tables_number 1
loop_
_symmetry_equiv_pos_as_xyz
'x,y,z'
loop_
_atom_site_label
_atom_site_type_symbol
_atom_site_fract_x
_atom_site_fract_y
_atom_site_fract_z
_atom_site_occupancy
Os1 Os 0.000 0.000 0.000 1
U1 U 0.750 0.750 0.750 1
Ta1 Ta 0.250 0.250 0.250 1

=====

(11)
# SmErAu4 | the Open Quantum Materials Database | PBE | optimized geometry
# * crystal system: tetragonal
# * DFT total energy: -4.568 eV per atom
# * total magnetization: 0.00 μB per formula unit
# * V: 128 Å³ per cell
data_SmErAu4
_chemical_formula_sum 'Sm1 Er1 Au4'
_cell_length_a 3.747
_cell_length_b 3.747
_cell_length_c 9.087
_cell_angle_alpha 90.00
_cell_angle_beta 90.00
_cell_angle_gamma 90.00
_symmetry_space_group_name_H-M 'P 1'
_symmetry_Int_Tables_number 1
loop_
_symmetry_equiv_pos_as_xyz
'x,y,z'
loop_
_atom_site_label
_atom_site_type_symbol
_atom_site_fract_x
_atom_site_fract_y
_atom_site_fract_z
_atom_site_occupancy
Au1 Au 0.500 0.500 0.171 1
Au2 Au 0.000 0.000 0.340 1
Au3 Au 0.000 0.000 0.660 1
Au4 Au 0.500 0.500 0.829 1
Er1 Er 0.500 0.500 0.500 1
Sm1 Sm 0.000 0.000 0.000 1

=====

(12)
# CsLuPb | the Open Quantum Materials Database | PBE | optimized geometry
# * crystal system: cubic
# * DFT total energy: -2.685 eV per atom
# * total magnetization: 0.00 μB per formula unit
# * offset from the most stable computed form: 0.0 meV per atom
# * V: 118 Å³ per cell
data_CsLuPb
_chemical_formula_sum 'Cs1 Lu1 Pb1'
_cell_length_a 5.504
_cell_length_b 5.504
_cell_length_c 5.504
_cell_angle_alpha 60.00
_cell_angle_beta 60.00
_cell_angle_gamma 60.00
_symmetry_space_group_name_H-M 'P 1'
_symmetry_Int_Tables_number 1
loop_
_symmetry_equiv_pos_as_xyz
'x,y,z'
loop_
_atom_site_label
_atom_site_type_symbol
_atom_site_fract_x
_atom_site_fract_y
_atom_site_fract_z
_atom_site_occupancy
Cs1 Cs 0.250 0.250 0.250 1
Lu1 Lu 0.000 0.000 0.000 1
Pb1 Pb 0.750 0.750 0.750 1

=====

Copy entry 11 word for word.
# SmErAu4 | the Open Quantum Materials Database | PBE | optimized geometry
# * crystal system: tetragonal
# * DFT total energy: -4.568 eV per atom
# * total magnetization: 0.00 μB per formula unit
# * V: 128 Å³ per cell
data_SmErAu4
_chemical_formula_sum 'Sm1 Er1 Au4'
_cell_length_a 3.747
_cell_length_b 3.747
_cell_length_c 9.087
_cell_angle_alpha 90.00
_cell_angle_beta 90.00
_cell_angle_gamma 90.00
_symmetry_space_group_name_H-M 'P 1'
_symmetry_Int_Tables_number 1
loop_
_symmetry_equiv_pos_as_xyz
'x,y,z'
loop_
_atom_site_label
_atom_site_type_symbol
_atom_site_fract_x
_atom_site_fract_y
_atom_site_fract_z
_atom_site_occupancy
Au1 Au 0.500 0.500 0.171 1
Au2 Au 0.000 0.000 0.340 1
Au3 Au 0.000 0.000 0.660 1
Au4 Au 0.500 0.500 0.829 1
Er1 Er 0.500 0.500 0.500 1
Sm1 Sm 0.000 0.000 0.000 1